VASP calculation (PBE-GGA) on a relaxed structure of Tl5Hg2Bi2.

## Properties
formation energy	0.01	eV/atom
size of the total moment	0.0	μB/f.u.
Fermi-level density of states	3.60	states/eV/f.u.
electronic total energy	-2.2348	eV/atom

Unit cell a=6.9577 b=9.0984 c=10.3877 alpha=115.97 beta=90.00 gamma=90.00
Closest atoms and distances in Å follow each position.
Atoms (fractional coordinates):
Tl 0.0000 0.0000 0.0000  4 Hg 3.14-3.51
Tl 0.5000 0.5000 0.0000  4 Hg 3.14-3.51
Tl 0.7584 0.8923 0.2930  2 Hg 3.26-3.46, 4 Bi 3.41-3.51, 2 Tl 3.48
Tl 0.2416 0.4007 0.2930  2 Hg 3.26-3.46, 4 Bi 3.41-3.51, 2 Tl 3.48
Tl 0.2584 0.9007 0.2930  2 Hg 3.26-3.46, 4 Bi 3.41-3.51, 2 Tl 3.48
Tl 0.7416 0.3923 0.2930  2 Hg 3.26-3.46, 4 Bi 3.41-3.51, 2 Tl 3.48
Tl 0.2416 0.1077 0.7070  2 Hg 3.26-3.46, 4 Bi 3.41-3.51, 2 Tl 3.48
Tl 0.7584 0.5993 0.7070  2 Hg 3.26-3.46, 4 Bi 3.41-3.51, 2 Tl 3.48
Tl 0.7416 0.0993 0.7070  2 Hg 3.26-3.46, 4 Bi 3.41-3.51, 2 Tl 3.48
Tl 0.2584 0.6077 0.7070  2 Hg 3.26-3.46, 4 Bi 3.41-3.51, 2 Tl 3.48
Hg 0.5389 0.8438 0.0000  1 Hg 2.89, 1 Tl 3.14
Hg 0.4611 0.1562 0.0000  1 Hg 2.89, 1 Tl 3.14
Hg 0.0389 0.6562 0.0000  1 Hg 2.89, 1 Tl 3.14
Hg 0.9611 0.3438 0.0000  1 Hg 2.89, 1 Tl 3.14
Bi 0.0000 0.2495 0.4990  8 Tl 3.41-3.51, 2 Bi 3.48
Bi 0.5000 0.7495 0.4990  8 Tl 3.41-3.51, 2 Bi 3.48
Bi 0.0000 0.7505 0.5010  8 Tl 3.41-3.51, 2 Bi 3.48
Bi 0.5000 0.2505 0.5010  8 Tl 3.41-3.51, 2 Bi 3.48